AcErNiPt | PBE | optimized geometry

Cell: 5.0815 5.0815 5.0815 Å, 60.00 60.00 60.00°
Last column: nearest neighbours and their distance in Å.
Element x y z (fractional)
Ni (0.2500, 0.2500, 0.2500)  4 Ac 3.11, 4 Er 3.11
Ac (0.5000, 0.5000, 0.5000)  4 Pt 3.11, 4 Ni 3.11
Pt (0.7500, 0.7500, 0.7500)  4 Ac 3.11, 4 Er 3.11
Er (0.0000, 0.0000, 0.0000)  4 Ni 3.11, 4 Pt 3.11

electronic total energy: -5.74 eV per atom
space-group type: F-43m
ρ: 11.598 Mg/m³
density of states at the Fermi level: 3.69 states/eV/f.u.
total moment: 0.000 μB/cell